[1]
PBE-GGA Tb2PrHo3Er6, relaxed; E_form = 2 kJ/mol of atoms
1.0
6.1246 0.0010 0.0143
-3.0600 5.3054 0.0143
-1.0461 -1.8113 11.5122
Tb Pr Ho Er
2 1 3 6
direct
0.3334 0.6666 0.0000
0.6666 0.3334 0.0000
0.0000 0.0000 0.0000
0.1670 0.8330 0.5000
0.8330 0.1670 0.5000
0.5000 0.5000 0.5000
0.9161 0.5820 0.7476
0.7498 0.7498 0.2524
0.0839 0.4180 0.2524
0.5820 0.9161 0.7476
0.2502 0.2502 0.7476
0.4180 0.0839 0.2524

[2]
PBE-GGA CaRu2Pb, relaxed; E_form = 52 kJ/mol of atoms
1.0
9.5604 0.0134 0.0079
9.0318 3.1350 0.0079
9.0318 1.5294 2.7366
Pb Ru Ca
1 2 1
direct
0.7393 0.7393 0.7393
0.9918 0.9918 0.9918
0.2584 0.2584 0.2584
0.5106 0.5106 0.5106

[3]
PBE-GGA TaSb4Rh, relaxed; formation energy (no corrections) = 24.62 kcal/mol of atoms
1.0
0.0000 4.1768 4.1768
4.1768 0.0000 4.1768
4.1768 4.1768 0.0000
Ta Sb Rh
1 4 1
direct
0.7500 0.7500 0.7500
0.8754 0.3749 0.3749
0.3749 0.3749 0.8754
0.3749 0.8754 0.3749
0.3749 0.3749 0.3749
0.0000 0.0000 0.0000

[4]
PBE-GGA Ce9In2Hg, relaxed; E_form = -15 kJ/mol of atoms
1.0
4.7977 0.0000 0.0000
0.0000 4.7977 0.0000
0.0000 0.0000 14.3816
Ce In Hg
9 2 1
direct
0.5000 0.5000 0.0000
0.5000 0.5000 0.3315
0.5000 0.5000 0.6685
0.5000 0.0000 0.1660
0.5000 0.0000 0.5000
0.5000 0.0000 0.8340
0.0000 0.5000 0.1660
0.0000 0.5000 0.5000
0.0000 0.5000 0.8340
0.0000 0.0000 0.3325
0.0000 0.0000 0.6675
0.0000 0.0000 0.0000

[5]
PBE-GGA ThNpC2, relaxed; E_form = 19 kJ/mol of atoms
1.0
-0.2092 1.5746 -3.1801
-2.3245 -2.5384 0.8833
-3.7240 4.2456 2.3434
Th Np C
1 1 2
direct
0.0000 0.5000 0.5000
0.0000 0.5000 0.0000
0.6668 0.8337 0.7755
0.3332 0.1663 0.2245

[6]
PBE-GGA PrCN2, relaxed; formation energy (no corrections) = -13.79 kcal/mol of atoms
1.0
3.7937 0.0000 0.0000
0.0000 5.2111 0.0000
0.0000 0.0000 12.2841
Pr C N
4 4 8
direct
0.2500 0.5611 0.6395
0.2500 0.9389 0.1395
0.7500 0.4389 0.3605
0.7500 0.0611 0.8605
0.2500 0.8926 0.3753
0.2500 0.6074 0.8753
0.7500 0.1074 0.6247
0.7500 0.3926 0.1247
0.2500 0.1227 0.3408
0.2500 0.3773 0.8408
0.7500 0.8773 0.6592
0.7500 0.6227 0.1592
0.2500 0.7173 0.4464
0.2500 0.7827 0.9464
0.7500 0.2827 0.5536
0.7500 0.2173 0.0536

[7]
PBE-GGA AsPd3Se, relaxed; formation energy (no corrections) = 5.46 kcal/mol of atoms
1.0
4.6805 0.0000 0.0000
0.0000 4.6805 0.0000
0.0000 0.0000 4.6805
As Se Pd
1 1 3
direct
0.0000 0.0000 0.0000
0.5000 0.5000 0.5000
0.0000 0.5000 0.0000
0.0000 0.0000 0.5000
0.5000 0.0000 0.0000

[8]
PBE-GGA RbTl, relaxed; E_form = -1 kJ/mol of atoms
1.0
-2.3010 -3.7784 -3.0229
-5.5955 -2.9869 7.9926
-6.3194 5.6874 -2.2986
Rb Tl
4 4
direct
0.0000 0.2518 0.5080
0.0000 0.7482 0.5080
0.5000 0.7518 0.0080
0.5000 0.2482 0.0080
0.0000 0.5000 0.1740
0.5000 0.0000 0.6740
0.0000 0.0000 0.8365
0.5000 0.5000 0.3365

[9]
PBE-GGA Pm2DyHo9, relaxed; E_form = 6 kJ/mol of atoms
1.0
3.4875 0.0000 0.0000
0.0000 11.2152 0.0000
0.0000 -5.6076 9.7126
Pm Dy Ho
2 1 9
direct
0.0000 0.3333 0.6667
0.0000 0.6667 0.3333
0.0000 0.0000 0.0000
0.0000 0.0000 0.5000
0.0000 0.5000 0.5000
0.0000 0.5000 0.0000
0.5000 0.3486 0.1743
0.5000 0.1743 0.8257
0.5000 0.1743 0.3486
0.5000 0.8257 0.6514
0.5000 0.8257 0.1743
0.5000 0.6514 0.8257

[10]
PBE-GGA KNbReB2, relaxed; E_form = 331 kJ/mol of atoms
1.0
4.1493 0.0000 0.0000
0.0000 4.7539 0.0000
0.0000 0.0000 4.1493
Re Nb B K
1 1 2 1
direct
0.0000 0.5000 0.0000
0.5000 0.5000 0.5000
0.0000 0.0000 0.5000
0.5000 0.0000 0.0000
0.0000 0.0000 0.0000

[11]
PBE-GGA SbMo2P, relaxed; formation energy (no corrections) = -0.93 kcal/mol of atoms
1.0
6.8592 -1.7533 -0.0207
6.8592 1.7533 -0.0207
6.4200 0.0000 2.9842
Sb Mo P
1 2 1
direct
0.0000 0.0000 0.0000
0.7750 0.7750 0.7750
0.2250 0.2250 0.2250
0.5000 0.5000 0.5000

[12]
PBE-GGA Ca2Be2SnRh5, relaxed; E_form = -56 kJ/mol of atoms
1.0
3.1682 0.0000 0.0000
0.0000 9.9103 0.0000
0.0000 0.0000 9.9103
Ca Be Sn Rh
4 4 2 10
direct
0.0000 0.6772 0.1772
0.0000 0.3228 0.8228
0.0000 0.1772 0.3228
0.0000 0.8228 0.6772
0.0000 0.1199 0.6199
0.0000 0.8801 0.3801
0.0000 0.6199 0.8801
0.0000 0.3801 0.1199
0.0000 0.0000 0.0000
0.0000 0.5000 0.5000
0.5000 0.2181 0.0673
0.5000 0.7819 0.9327
0.5000 0.0673 0.7819
0.5000 0.7181 0.4327
0.5000 0.9327 0.2181
0.5000 0.2819 0.5673
0.5000 0.5673 0.7181
0.5000 0.4327 0.2819
0.5000 0.5000 0.0000
0.5000 0.0000 0.5000

Across the entries above, E_tot takes the values -4.5755 -5.5284 -4.8813 -5.0911 -9.5013 -8.2614 -4.5057 -1.6785 -4.5429 -3.9607 -7.8389 -5.8037 eV/atom, respectively.